Entry 1:
HfMg3As: optimized geometry, PBE.

Calculated values
- density of states at the Fermi level (states/eV/cell) = 2.736
- SG = Pm-3m, No. 221
- ΔE to the lowest computed polymorph (meV/atom) = 0
- E_tot (eV/cell) = -17.14
- calculated formation energy (eV/atom) = 0.449
- calculated density (Mg/m³) = 4.38

a = 4.984 Å, b = 4.984 Å, c = 4.984 Å
α = 90.00°, β = 90.00°, γ = 90.00°
Positions (direct):
1 Hf 0.000 0.000 0.000
2 Mg 0.000 0.500 0.500
3 Mg 0.500 0.000 0.500
4 Mg 0.500 0.500 0.000
5 As 0.500 0.500 0.500

=====

Entry 2:
K2MgCd3F12: optimized geometry, PBE.

Calculated values
- density of states at the Fermi level (states/eV/cell) = 8.346
- SG = R-3m, No. 166
- E_tot (eV/cell) = -69.88
- formation energy without anion corrections (eV per atom) = -2.271
- calculated density (Mg/m³) = 3.25

a = 7.752 Å, b = 7.752 Å, c = 7.752 Å
α = 61.64°, β = 61.64°, γ = 61.64°
Positions (direct):
1 K 0.173 0.173 0.173
2 K 0.827 0.827 0.827
3 Mg 0.500 0.500 0.500
4 Cd 0.000 0.500 0.500
5 Cd 0.500 0.000 0.500
6 Cd 0.500 0.500 0.000
7 F 0.167 0.167 0.549
8 F 0.167 0.549 0.167
9 F 0.196 0.569 0.569
10 F 0.431 0.431 0.804
11 F 0.431 0.804 0.431
12 F 0.451 0.833 0.833
13 F 0.549 0.167 0.167
14 F 0.569 0.196 0.569
15 F 0.569 0.569 0.196
16 F 0.804 0.431 0.431
17 F 0.833 0.451 0.833
18 F 0.833 0.833 0.451

=====

Entry 3:
Tl2ZnNi: optimized geometry, PBE.

Calculated values
- density of states at the Fermi level (states/eV/cell) = 1.530
- SG = P4/mmm, No. 123
- ΔE to the lowest computed polymorph (meV/atom) = 227
- E_tot (eV/cell) = -10.35
- calculated formation energy (eV/atom) = 0.360
- calculated density (Mg/m³) = 10.95

a = 4.885 Å, b = 4.885 Å, c = 3.386 Å
α = 90.00°, β = 90.00°, γ = 90.00°
Positions (direct):
1 Tl 0.000 0.500 0.000
2 Tl 0.500 0.000 0.000
3 Zn 0.000 0.000 0.500
4 Ni 0.500 0.500 0.500

=====

Entry 4:
Ce3PmN4: optimized geometry, PBE.

Calculated values
- density of states at the Fermi level (states/eV/cell) = 7.363
- SG = Pm-3m, No. 221
- ΔE to the lowest computed polymorph (meV/atom) = 6
- E_tot (eV/cell) = -67.73
- formation energy without anion corrections (eV per atom) = -1.484
- calculated density (Mg/m³) = 7.95

a = 5.063 Å, b = 5.063 Å, c = 5.063 Å
α = 90.00°, β = 90.00°, γ = 90.00°
Positions (direct):
1 Ce 0.000 0.000 0.500
2 Ce 0.000 0.500 0.000
3 Ce 0.500 0.000 0.000
4 Pm 0.500 0.500 0.500
5 N 0.000 0.000 0.000
6 N 0.000 0.500 0.500
7 N 0.500 0.000 0.500
8 N 0.500 0.500 0.000

=====

Entry 5:
LiDySnRu: optimized geometry, PBE.

Calculated values
- density of states at the Fermi level (states/eV/cell) = 3.718
- SG = F-43m, No. 216
- E_tot (eV/cell) = -21.46
- calculated formation energy (eV/atom) = -0.416
- calculated density (Mg/m³) = 8.66

a = 4.725 Å, b = 4.725 Å, c = 4.725 Å
α = 60.00°, β = 60.00°, γ = 60.00°
Positions (direct):
1 Li 0.000 0.000 0.000
2 Dy 0.750 0.750 0.750
3 Sn 0.250 0.250 0.250
4 Ru 0.500 0.500 0.500

=====

Entry 6:
In2AgSb: optimized geometry, PBE.

Calculated values
- density of states at the Fermi level (states/eV/cell) = 1.696
- SG = Cm, No. 8
- E_tot (eV/cell) = -12.20
- formation energy without anion corrections (eV per atom) = 0.062
- calculated density (Mg/m³) = 7.55

a = 5.747 Å, b = 5.747 Å, c = 5.829 Å
α = 106.23°, β = 106.23°, γ = 33.27°
Positions (direct):
1 In 0.000 0.000 0.000
2 In 0.210 0.210 0.663
3 Ag 0.470 0.470 0.552
4 Sb 0.773 0.773 0.207

=====

| no. | spin magnetization (μB/f.u.) |
| --- | --- |
| 1 | 0.00 |
| 2 | 2.12 |
| 3 | 0.00 |
| 4 | 1.18 |
| 5 | 0.00 |
| 6 | 0.00 |